Record 1
# Cd4BiSb PBE relaxed
data_Cd4BiSb
_chemical_formula_sum 'Cd16 Bi4 Sb4'
_symmetry_space_group_name_H-M 'F -4 3 m'
_symmetry_Int_Tables_number 216
_symmetry_space_group_name_Hall 'F -4 2 3'
_cell_length_a 8.469
_cell_length_b 8.469
_cell_length_c 8.469
_cell_angle_alpha 90.00
_cell_angle_beta 90.00
_cell_angle_gamma 90.00
loop_
_atom_site_label
_atom_site_type_symbol
_atom_site_fract_x
_atom_site_fract_y
_atom_site_fract_z
_atom_site_occupancy
Cd1 Cd 0.125 0.125 0.125 1
Bi1 Bi 0.000 0.000 0.500 1
Sb1 Sb 0.250 0.250 0.750 1
# Energy relative to the elements, uncorrected, eV per atom: 0.132
# Total moment, μB/f.u.: 0.000
# Excess energy over the best structure of this formula in the dataset, meV per atom: 111
# Uncorrected energy, eV per atom: -1.812


Record 2
# HfThMgSc PBE relaxed
data_HfThMgSc
_chemical_formula_sum 'Hf4 Th4 Mg4 Sc4'
_symmetry_space_group_name_H-M 'F -4 3 m'
_symmetry_Int_Tables_number 216
_symmetry_space_group_name_Hall 'F -4 2 3'
_cell_length_a 7.376
_cell_length_b 7.376
_cell_length_c 7.376
_cell_angle_alpha 90.00
_cell_angle_beta 90.00
_cell_angle_gamma 90.00
loop_
_atom_site_label
_atom_site_type_symbol
_atom_site_fract_x
_atom_site_fract_y
_atom_site_fract_z
_atom_site_occupancy
Hf1 Hf 0.000 0.000 0.000 1
Th1 Th 0.250 0.250 0.750 1
Mg1 Mg 0.000 0.000 0.500 1
Sc1 Sc 0.250 0.250 0.250 1
# Total moment, μB/f.u.: 0.005
# Calculated formation energy, eV/f.u.: 0.6
# Uncorrected energy, eV per atom: -6.184